The following is a DFT calculation (PBE) of HfAl2Tc after structural relaxation.

Cell: 3.1357 3.1357 6.7105 Å, 90.00 90.00 90.00°
Fractional coordinates of all 4 atoms:
1 Hf 0.5000 0.5000 0.5000
2 Al 0.0000 0.0000 0.2041
3 Al 0.0000 0.0000 0.7959
4 Tc 0.5000 0.5000 0.0000

Output
calculated formation energy	-0.3281	eV/atom


The following is a DFT calculation (PBE) of Hf2Al3Tc after structural relaxation.

Cell: 5.2498 5.2498 5.2676 Å, 89.99 119.89 120.01°
Fractional coordinates of all 6 atoms:
1 Hf 0.2590 0.6294 0.8884
2 Hf 0.7410 0.3706 0.1116
3 Al 0.5000 0.0000 0.5000
4 Al 0.5000 0.5000 0.5000
5 Al 0.0000 0.0000 0.5000
6 Tc 0.0000 0.0000 0.0000

Output
calculated formation energy	-0.4928	eV/atom


The following is a DFT calculation (PBE) of Hf2Ti5AlTc2 after structural relaxation.

Cell: 3.2092 10.5938 10.5938 Å, 90.00 90.00 90.00°
Fractional coordinates of all 20 atoms:
1 Ti 0.5000 0.0525 0.7965
2 Ti 0.5000 0.7965 0.9475
3 Ti 0.5000 0.5000 0.0000
4 Ti 0.5000 0.7035 0.4475
5 Ti 0.5000 0.5525 0.7035
6 Ti 0.5000 0.2965 0.5525
7 Ti 0.5000 0.0000 0.5000
8 Ti 0.5000 0.9475 0.2035
9 Ti 0.5000 0.2035 0.0525
10 Ti 0.5000 0.4475 0.2965
11 Tc 0.0000 0.3652 0.1348
12 Tc 0.0000 0.8652 0.3652
13 Tc 0.0000 0.6348 0.8652
14 Tc 0.0000 0.1348 0.6348
15 Al 0.0000 0.5000 0.5000
16 Al 0.0000 0.0000 0.0000
17 Hf 0.0000 0.3202 0.8202
18 Hf 0.0000 0.8202 0.6798
19 Hf 0.0000 0.6798 0.1798
20 Hf 0.0000 0.1798 0.3202

Output
calculated formation energy	-0.1397	eV/atom


The following is a DFT calculation (PBE) of YHfAlTc after structural relaxation.

Cell: 4.8220 4.8220 4.8220 Å, 60.00 60.00 60.00°
Fractional coordinates of all 4 atoms:
1 Y 0.7500 0.7500 0.7500
2 Al 0.5000 0.5000 0.5000
3 Hf 0.2500 0.2500 0.2500
4 Tc 0.0000 0.0000 0.0000

Output
calculated formation energy	-0.2382	eV/atom


The following is a DFT calculation (PBE) of HfAl2Te after structural relaxation.

Cell: 7.8485 7.8485 6.2596 Å, 51.18 51.18 90.00°
Fractional coordinates of all 8 atoms:
1 Te 0.2500 0.7500 0.5000
2 Te 0.5000 0.5000 0.0000
3 Al 0.6239 0.1250 0.2500
4 Al 0.8750 0.8739 0.7500
5 Al 0.1261 0.6250 0.2500
6 Al 0.3750 0.3761 0.7500
7 Hf 0.7500 0.2500 0.5000
8 Hf 0.0000 0.0000 0.0000

Output
uncorrected formation energy	0.19	eV/atom


The following is a DFT calculation (PBE) of Hf2Al2Te7 after structural relaxation.

Cell: 7.2164 7.5521 7.5521 Å, 106.25 97.83 97.83°
Fractional coordinates of all 11 atoms:
1 Hf 0.0000 0.6831 0.3169
2 Hf 0.0000 0.3169 0.6831
3 Te 0.2169 0.4518 0.0669
4 Te 0.2509 0.5878 0.5878
5 Te 0.5000 0.0000 0.0000
6 Te 0.7831 0.9331 0.5482
7 Te 0.7831 0.5482 0.9331
8 Te 0.7491 0.4122 0.4122
9 Te 0.2169 0.0669 0.4518
10 Al 0.3840 0.2422 0.2422
11 Al 0.6160 0.7578 0.7578

Output
uncorrected formation energy	-0.39	eV/atom


The following is a DFT calculation (PBE) of HfAlTe3 after structural relaxation.

Cell: 5.5865 5.5865 5.5865 Å, 90.00 90.00 90.00°
Fractional coordinates of all 5 atoms:
1 Te 0.0000 0.5000 0.0000
2 Te 0.0000 0.0000 0.5000
3 Te 0.5000 0.0000 0.0000
4 Al 0.5000 0.5000 0.5000
5 Hf 0.0000 0.0000 0.0000

Output
uncorrected formation energy	-0.06	eV/atom


The following is a DFT calculation (PBE) of HfAlTe4 after structural relaxation.

Cell: 7.4256 7.4256 7.1770 Å, 90.00 90.00 90.00°
Fractional coordinates of all 12 atoms:
1 Al 0.0000 0.5000 0.2500
2 Al 0.5000 0.0000 0.7500
3 Hf 0.0000 0.0000 0.5000
4 Hf 0.0000 0.0000 0.0000
5 Te 0.2523 0.2434 0.8522
6 Te 0.2434 0.2523 0.3522
7 Te 0.2434 0.7477 0.1478
8 Te 0.7477 0.7566 0.8522
9 Te 0.7566 0.2523 0.1478
10 Te 0.7477 0.2434 0.6478
11 Te 0.7566 0.7477 0.3522
12 Te 0.2523 0.7566 0.6478

Output
uncorrected formation energy	-0.35	eV/atom


The following is a DFT calculation (PBE) of Hf2AlTe6 after structural relaxation.

Cell: 6.7918 6.7918 12.3934 Å, 90.00 90.00 90.00°
Fractional coordinates of all 18 atoms:
1 Hf 0.5000 0.5000 0.3403
2 Hf 0.0000 0.0000 0.8403
3 Hf 0.0000 0.0000 0.1597
4 Hf 0.5000 0.5000 0.6597
5 Te 0.6960 0.6960 0.1665
6 Te 0.8040 0.1960 0.3335
7 Te 0.7919 0.2081 0.0000
8 Te 0.6960 0.6960 0.8335
9 Te 0.2081 0.7919 0.0000
10 Te 0.7081 0.7081 0.5000
11 Te 0.1960 0.8040 0.6665
12 Te 0.3040 0.3040 0.1665
13 Te 0.2919 0.2919 0.5000
14 Te 0.1960 0.8040 0.3335
15 Te 0.3040 0.3040 0.8335
16 Te 0.8040 0.1960 0.6665
17 Al 0.0000 0.0000 0.5000
18 Al 0.5000 0.5000 0.0000

Output
uncorrected formation energy	-0.49	eV/atom


The following is a DFT calculation (PBE) of HfAl2Te after structural relaxation.

Cell: 4.9438 4.9438 4.9438 Å, 60.00 60.00 60.00°
Fractional coordinates of all 4 atoms:
1 Te 0.0000 0.0000 0.0000
2 Al 0.7500 0.7500 0.7500
3 Al 0.2500 0.2500 0.2500
4 Hf 0.5000 0.5000 0.5000

Output
uncorrected formation energy	0.37	eV/atom


The following is a DFT calculation (PBE) of HfAlTe3 after structural relaxation.

Cell: 5.2235 5.2235 5.2235 Å, 90.00 90.00 90.00°
Fractional coordinates of all 5 atoms:
1 Te 0.0000 0.5000 0.0000
2 Te 0.0000 0.0000 0.5000
3 Te 0.5000 0.0000 0.0000
4 Al 0.0000 0.0000 0.0000
5 Hf 0.5000 0.5000 0.5000

Output
uncorrected formation energy	0.39	eV/atom


The following is a DFT calculation (PBE) of HfAl2Te4 after structural relaxation.

Cell: 6.7132 6.7132 6.7132 Å, 105.99 105.99 116.68°
Fractional coordinates of all 7 atoms:
1 Te 0.3259 0.1834 0.5093
2 Te 0.8166 0.3259 0.1425
3 Te 0.1834 0.6741 0.8575
4 Te 0.6741 0.8166 0.4907
5 Al 0.2500 0.7500 0.5000
6 Al 0.7500 0.2500 0.5000
7 Hf 0.5000 0.5000 0.0000

Output
uncorrected formation energy	-0.17	eV/atom


The following is a DFT calculation (PBE) of Hf3AlTe6 after structural relaxation.

Cell: 8.4121 8.4121 8.4121 Å, 89.06 89.06 89.06°
Fractional coordinates of all 20 atoms:
1 Te 0.1093 0.3068 0.9038
2 Te 0.8907 0.6932 0.0962
3 Te 0.3068 0.9038 0.1093
4 Te 0.8192 0.4676 0.5876
5 Te 0.0962 0.8907 0.6932
6 Te 0.4676 0.5876 0.8192
7 Te 0.9038 0.1093 0.3068
8 Te 0.5324 0.4124 0.1808
9 Te 0.5876 0.8192 0.4676
10 Te 0.1808 0.5324 0.4124
11 Te 0.4124 0.1808 0.5324
12 Te 0.6932 0.0962 0.8907
13 Al 0.5000 0.5000 0.5000
14 Al 0.0000 0.0000 0.0000
15 Hf 0.2200 0.5713 0.0745
16 Hf 0.7800 0.4287 0.9255
17 Hf 0.9255 0.7800 0.4287
18 Hf 0.5713 0.0745 0.2200
19 Hf 0.0745 0.2200 0.5713
20 Hf 0.4287 0.9255 0.7800

Output
uncorrected formation energy	-0.47	eV/atom


The following is a DFT calculation (PBE) of Hf2Al2Te after structural relaxation.

Cell: 7.3958 7.3958 3.9846 Å, 90.00 90.00 90.00°
Fractional coordinates of all 10 atoms:
1 Te 0.5000 0.5000 0.0000
2 Te 0.0000 0.0000 0.0000
3 Hf 0.6654 0.1654 0.0000
4 Hf 0.8346 0.6654 0.0000
5 Hf 0.3346 0.8346 0.0000
6 Hf 0.1654 0.3346 0.0000
7 Al 0.6272 0.8728 0.5000
8 Al 0.8728 0.3728 0.5000
9 Al 0.3728 0.1272 0.5000
10 Al 0.1272 0.6272 0.5000

Output
uncorrected formation energy	-0.20	eV/atom


The following is a DFT calculation (PBE) of HfAl2VTe after structural relaxation.

Cell: 5.1743 5.3469 5.1743 Å, 90.00 90.00 90.00°
Fractional coordinates of all 5 atoms:
1 Hf 0.0000 0.0000 0.0000
2 V 0.5000 0.5000 0.5000
3 Te 0.0000 0.5000 0.0000
4 Al 0.5000 0.0000 0.0000
5 Al 0.0000 0.0000 0.5000

Output
uncorrected formation energy	1.22	eV/atom


The following is a DFT calculation (PBE) of HfTh2Al after structural relaxation.

Cell: 3.9489 3.9489 6.8431 Å, 90.00 90.00 90.00°
Fractional coordinates of all 4 atoms:
1 Th 0.0000 0.0000 0.7648
2 Th 0.0000 0.0000 0.2352
3 Hf 0.5000 0.5000 0.5000
4 Al 0.5000 0.5000 0.0000

Output
calculated formation energy	0.0279	eV/atom


The following is a DFT calculation (PBE) of HfTh2Al after structural relaxation.

Cell: 3.2711 3.2711 11.6850 Å, 81.95 81.95 60.00°
Fractional coordinates of all 4 atoms:
1 Th 0.9099 0.9099 0.2703
2 Th 0.0901 0.0901 0.7297
3 Hf 0.0000 0.0000 0.0000
4 Al 0.5000 0.5000 0.5000

Output
calculated formation energy	0.3100	eV/atom


The following is a DFT calculation (PBE) of HfThAl after structural relaxation.

Cell: 3.4018 5.0032 5.0032 Å, 120.00 90.00 90.00°
Fractional coordinates of all 3 atoms:
1 Hf 0.1639 0.0000 0.0000
2 Al 0.1705 0.3333 0.6667
3 Th 0.6655 0.6667 0.3333

Output
calculated formation energy	0.0047	eV/atom


The following is a DFT calculation (PBE) of HfThAl after structural relaxation.

Cell: 3.2782 3.2782 7.0387 Å, 103.47 103.47 90.00°
Fractional coordinates of all 3 atoms:
1 Th 0.0052 0.0052 0.0105
2 Hf 0.3160 0.3160 0.6321
3 Al 0.6787 0.6787 0.3575

Output
calculated formation energy	-0.0881	eV/atom


The following is a DFT calculation (PBE) of HfThAl2 after structural relaxation.

Cell: 4.3471 7.6456 10.8956 Å, 90.00 90.00 90.00°
Fractional coordinates of all 16 atoms:
1 Al 0.7500 0.0816 0.8564
2 Al 0.7500 0.5816 0.6436
3 Al 0.7500 0.7961 0.0249
4 Al 0.2500 0.2039 0.9751
5 Al 0.2500 0.7039 0.5249
6 Al 0.2500 0.9184 0.1436
7 Al 0.2500 0.4184 0.3564
8 Al 0.7500 0.2961 0.4751
9 Hf 0.2500 0.0454 0.4055
10 Hf 0.7500 0.4546 0.9055
11 Hf 0.2500 0.5454 0.0945
12 Hf 0.7500 0.9546 0.5945
13 Th 0.7500 0.7145 0.3128
14 Th 0.2500 0.7855 0.8128
15 Th 0.2500 0.2855 0.6872
16 Th 0.7500 0.2145 0.1872

Output
calculated formation energy	-0.3037	eV/atom